Below is a relaxed LiTcAgAs2 crystal, with properties calculated at the PBE level.

Crystal system ... tetragonal
N(E_F) ... 2.2 states/eV/cell
E_tot ... -4.56 eV per atom
M_tot ... 0.00 μB per formula unit

abc: 4.721 4.721 4.875
angles: 90.00 90.00 90.00
Fractional coordinates of all 5 atoms:
Li 0.000 0.000 0.000
Tc 0.000 0.000 0.500
Ag 0.500 0.500 0.000
As 0.000 0.500 0.500
As 0.500 0.000 0.500